# Cd2InHg

Cd2InHg at its PBEsol-relaxed geometry (SCAN, the Alexandria database).

The structure belongs to space group Fm-3m (No. 225); the cell edges are 7.1513, 7.1513 and 7.1513 Å and the angles 90.00°, 90.00° and 90.00°. The distinct sites, in fractional coordinates, are Cd at (0.2500, 0.2500, 0.2500), In at (0.0000, 0.0000, 0.0000) and Hg at (0.0000, 0.0000, 0.5000).

As for the formation energy: 30 kJ/mol of formula units. The calculation puts the relative energy among the computed polymorphs at 60.3 meV/atom.